1.
Material: Zr9Ti3P4
Method: DFT, PBE
State: optimized geometry

a b c (Å): 3.5585 3.9861 22.8150
angles (deg): 90.00 90.00 90.00
Last column: nearest neighbours and their distance in Å.
Atoms (fractional coordinates):
Zr (0.0000, 0.0000, 0.0107)  4 P 2.76
Zr (0.5000, 0.0000, 0.8249)  4 P 2.75
Zr (0.0000, 0.0000, 0.6415)  4 P 2.75
Zr (0.5000, 0.0000, 0.4625)  4 P 2.79
Zr (0.0000, 0.0000, 0.3362)  4 Zr 2.67, 2 P 2.89
Zr (0.5000, 0.0000, 0.1919)  6 Zr 2.78-2.97
Zr (0.5000, 0.5000, 0.3404)  4 Zr 2.67, 2 P 2.68
Zr (0.0000, 0.5000, 0.2251)  4 Zr 2.78
Zr (0.5000, 0.5000, 0.0953)  1 P 2.63
Ti (0.0000, 0.5000, 0.9051)  3 P 2.47-2.48
Ti (0.5000, 0.5000, 0.7214)  3 P 2.47
Ti (0.0000, 0.5000, 0.5382)  3 P 2.47-2.51
P (0.5000, 0.5000, 0.9801)  2 Ti 2.47, 5 Zr 2.63-2.76
P (0.0000, 0.5000, 0.7965)  3 Ti 2.47-2.48, 4 Zr 2.75
P (0.5000, 0.5000, 0.6132)  3 Ti 2.47, 4 Zr 2.75
P (0.0000, 0.5000, 0.4281)  1 Ti 2.51, 6 Zr 2.68-2.79

## Properties
* formation energy: -0.4060 eV per atom
* symmetry: Pmm2
* density: 5.585 g/cm3

---

2.
Material: Rb4SnAu3
Method: DFT, PBE
State: optimized geometry

a b c (Å): 5.0889 4.9455 12.8063
angles (deg): 90.00 90.00 90.00
Last column: nearest neighbours and their distance in Å.
Atoms (fractional coordinates):
Au (0.0000, 0.5000, 0.5641)  2 Au 2.95
Au (0.0000, 0.0000, 0.4387)  2 Au 2.95
Au (0.5000, 0.0000, 0.9578)  2 Sn 2.71
Sn (0.5000, 0.5000, 0.0436)  2 Au 2.71
Rb (0.5000, 0.5000, 0.3664)  6 Au 3.59-3.67
Rb (0.0000, 0.5000, 0.8390)  5 Au 3.52-3.86, 2 Sn 3.65
Rb (0.0000, 0.0000, 0.1565)  3 Au 3.60-3.61, 4 Sn 3.83
Rb (0.5000, 0.0000, 0.6339)  6 Au 3.57-3.66

## Properties
* formation energy: -0.2602 eV per atom
* symmetry: Pmm2
* density: 5.417 g/cm3

---

3.
Material: LaNiTe2
Method: DFT, PBE
State: optimized geometry

a b c (Å): 5.2827 5.2827 5.2827
angles (deg): 60.00 60.00 60.00
Last column: nearest neighbours and their distance in Å.
Atoms (fractional coordinates):
Ni (0.0000, 0.0000, 0.0000)  8 Te 3.23
Te (0.2500, 0.2500, 0.2500)  4 La 3.23, 4 Ni 3.23
Te (0.7500, 0.7500, 0.7500)  4 Ni 3.23, 4 La 3.23
La (0.5000, 0.5000, 0.5000)  8 Te 3.23

## Properties
* symmetry: Fm-3m
* density: 7.213 g/cm3
* energy relative to the elements, uncorrected: -485 meV/atom

---

4.
Material: Tl3HgAu2
Method: DFT, PBE
State: optimized geometry

a b c (Å): 7.4254 7.4254 7.4254
angles (deg): 68.85 68.85 68.85
Last column: nearest neighbours and their distance in Å.
Atoms (fractional coordinates):
Tl (0.4299, 0.0701, 0.7500)  4 Au 3.03-3.18, 2 Hg 3.18
Tl (0.0701, 0.7500, 0.4299)  4 Au 3.03-3.18, 2 Hg 3.18
Tl (0.7500, 0.4299, 0.0701)  4 Au 3.03-3.18, 2 Hg 3.18
Tl (0.5701, 0.9299, 0.2500)  4 Au 3.03-3.18, 2 Hg 3.18
Tl (0.9299, 0.2500, 0.5701)  4 Au 3.03-3.18, 2 Hg 3.18
Tl (0.2500, 0.5701, 0.9299)  4 Au 3.03-3.18, 2 Hg 3.18
Hg (0.5000, 0.5000, 0.5000)  2 Au 2.81
Hg (0.0000, 0.0000, 0.0000)  2 Au 2.81
Au (0.3335, 0.3335, 0.3335)  1 Hg 2.81, 1 Au 2.82, 3 Tl 3.03
Au (0.1665, 0.1665, 0.1665)  1 Hg 2.81, 1 Au 2.82, 3 Tl 3.03
Au (0.8335, 0.8335, 0.8335)  1 Hg 2.81, 1 Au 2.82, 3 Tl 3.03
Au (0.6665, 0.6665, 0.6665)  1 Hg 2.81, 1 Au 2.82, 3 Tl 3.03

## Properties
* formation energy: 0.0078 eV per atom
* symmetry: R-3c
* distance to the lowest polymorph of the same formula: 0.046 eV/atom
* density: 11.680 g/cm3

---

5.
Material: Tb2Nd2Y15
Method: DFT, PBE
State: optimized geometry

a b c (Å): 8.8070 8.8070 8.8070
angles (deg): 79.83 79.83 79.83
Last column: nearest neighbours and their distance in Å.
Atoms (fractional coordinates):
Tb (0.0961, 0.0961, 0.0961)  1 Tb 3.41, 12 Y 3.49-3.82
Tb (0.9039, 0.9039, 0.9039)  1 Tb 3.41, 12 Y 3.49-3.82
Nd (0.3253, 0.3253, 0.3253)  15 Y 3.98-4.31, 1 Tb 4.07
Nd (0.6747, 0.6747, 0.6747)  15 Y 3.98-4.31, 1 Tb 4.07
Y (0.0000, 0.0000, 0.5000)  8 Y 3.36-3.42, 2 Tb 3.49
Y (0.5000, 0.0000, 0.0000)  8 Y 3.36-3.42, 2 Tb 3.49
Y (0.0000, 0.5000, 0.0000)  8 Y 3.36-3.42, 2 Tb 3.49
Y (0.2984, 0.7016, 0.0000)  6 Y 3.34-3.42
Y (0.0000, 0.2984, 0.7016)  6 Y 3.34-3.42
Y (0.7016, 0.0000, 0.2984)  6 Y 3.34-3.42
Y (0.0000, 0.7016, 0.2984)  6 Y 3.34-3.42
Y (0.2984, 0.0000, 0.7016)  6 Y 3.34-3.42
Y (0.7016, 0.2984, 0.0000)  6 Y 3.34-3.42
Y (0.6313, 0.6313, 0.1492)  6 Y 3.31-3.36
Y (0.1492, 0.6313, 0.6313)  6 Y 3.31-3.36
Y (0.6313, 0.1492, 0.6313)  6 Y 3.31-3.36
Y (0.3687, 0.3687, 0.8508)  6 Y 3.31-3.36
Y (0.8508, 0.3687, 0.3687)  6 Y 3.31-3.36
Y (0.3687, 0.8508, 0.3687)  6 Y 3.31-3.36

## Properties
* formation energy: 0.2867 eV per atom
* symmetry: R-3m
* density: 4.923 g/cm3

---

6.
Material: TlCdIn2Pt
Method: DFT, PBE
State: optimized geometry

a b c (Å): 5.2353 5.2353 5.3754
angles (deg): 90.00 90.00 90.00
Last column: nearest neighbours and their distance in Å.
Atoms (fractional coordinates):
Tl (0.0000, 0.0000, 0.5000)  2 Pt 2.69
Cd (0.5000, 0.5000, 0.5000)  4 Tl 3.70, 8 In 3.75
Pt (0.0000, 0.0000, 0.0000)  4 In 2.62, 2 Tl 2.69
In (0.0000, 0.5000, 0.0000)  2 Pt 2.62
In (0.5000, 0.0000, 0.0000)  2 Pt 2.62

## Properties
* formation energy: -0.0596 eV per atom
* symmetry: P4/mmm
* distance to the lowest polymorph of the same formula: 0.096 eV/atom
* density: 8.358 g/cm3

---

7.
Material: CdP2W
Method: DFT, PBE
State: optimized geometry

a b c (Å): 2.8260 2.8260 9.8652
angles (deg): 90.00 90.00 109.32
Last column: nearest neighbours and their distance in Å.
Atoms (fractional coordinates):
Cd (0.5000, 0.5000, 0.7402)  2 P 2.78, 4 Cd 2.83, 2 W 2.99
P (0.0000, 0.0000, 0.9682)  2 Cd 2.78, 4 P 2.83
P (0.5000, 0.5000, 0.3049)  2 W 2.43
W (0.0000, 0.0000, 0.4867)  2 P 2.43

## Properties
* formation energy: 0.5120 eV per atom
* symmetry: Cmm2
* distance to the lowest polymorph of the same formula: 0.536 eV/atom
* density: 8.000 g/cm3

---

8.
Material: Ac2Ho3Te8
Method: DFT, PBE
State: optimized geometry

a b c (Å): 7.6869 8.9192 9.1416
angles (deg): 119.20 106.14 90.00
Last column: nearest neighbours and their distance in Å.
Atoms (fractional coordinates):
Ac (0.3304, 0.2560, 0.5120)  6 Te 3.29-3.33
Ac (0.6696, 0.7440, 0.4880)  6 Te 3.29-3.33
Ho (0.5000, 0.0000, 0.0000)  6 Te 3.05-3.07
Ho (0.0000, 0.2569, 0.0000)  6 Te 3.02-3.12
Ho (0.0000, 0.7431, 0.0000)  6 Te 3.02-3.12
Te (0.9378, 0.6195, 0.2390)  2 Ho 3.02, 1 Ac 3.29
Te (0.0622, 0.3805, 0.7610)  2 Ho 3.02, 1 Ac 3.29
Te (0.9076, 0.1120, 0.2239)  3 Ho 3.07-3.12, 1 Ac 3.33
Te (0.0924, 0.8880, 0.7761)  3 Ho 3.07-3.12, 1 Ac 3.33
Te (0.5939, 0.6443, 0.7747)  2 Ho 3.05-3.07, 2 Ac 3.32-3.33
Te (0.5939, 0.1303, 0.7747)  2 Ho 3.05-3.07, 2 Ac 3.32-3.33
Te (0.4061, 0.8697, 0.2253)  2 Ho 3.05-3.07, 2 Ac 3.32-3.33
Te (0.4061, 0.3557, 0.2253)  2 Ho 3.05-3.07, 2 Ac 3.32-3.33

## Properties
* symmetry: C2/m
* density: 6.306 g/cm3
* energy relative to the elements, uncorrected: -1336 meV/atom

---

9.
Material: CsSn3Hg
Method: DFT, PBE
State: optimized geometry

a b c (Å): 7.3973 7.4057 6.9886
angles (deg): 89.97 90.03 90.08
Last column: nearest neighbours and their distance in Å.
Atoms (fractional coordinates):
Cs (0.4739, 0.3169, 0.7010)  11 Sn 4.02-4.30, 3 Hg 4.03-4.05
Cs (0.9731, 0.0356, 0.2006)  11 Sn 4.02-4.30, 3 Hg 4.04-4.05
Sn (0.2834, 0.5050, 0.2006)  1 Hg 2.96, 4 Sn 3.08-3.11
Sn (0.4688, 0.8264, 0.9907)  3 Sn 2.93-3.11, 2 Hg 2.94-3.26
Sn (0.9707, 0.5267, 0.4910)  3 Sn 2.93-3.11, 2 Hg 2.94-3.25
Sn (0.7817, 0.8456, 0.7002)  1 Hg 2.97, 4 Sn 3.08-3.11
Sn (0.9700, 0.5266, 0.9108)  3 Sn 2.93-3.11, 2 Hg 2.94-3.25
Sn (0.4681, 0.8269, 0.4105)  3 Sn 2.93-3.11, 2 Hg 2.94-3.26
Hg (0.1826, 0.8562, 0.7010)  5 Sn 2.94-3.25
Hg (0.6839, 0.4980, 0.2013)  5 Sn 2.94-3.26

## Properties
* formation energy: -0.0739 eV per atom
* symmetry: P1
* distance to the lowest polymorph of the same formula: 0.063 eV/atom
* density: 5.982 g/cm3

---

10.
Material: VCuSb
Method: DFT, PBE
State: optimized geometry

a b c (Å): 7.9005 4.7987 4.7987
angles (deg): 41.55 67.04 57.09
Last column: nearest neighbours and their distance in Å.
Atoms (fractional coordinates):
Sb (0.5669, 0.5820, 0.3387)  4 Cu 2.67-2.72, 5 V 2.77-2.86
Sb (0.0599, 0.2403, 0.4894)  4 Cu 2.67-2.71, 5 V 2.77-2.86
Cu (0.1837, 0.8408, 0.2143)  2 Cu 2.63-2.64, 4 Sb 2.67-2.71, 2 V 2.75
Cu (0.4430, 0.9816, 0.6136)  2 Cu 2.63-2.64, 4 Sb 2.67-2.72, 2 V 2.75
V (0.7558, 0.1194, 0.0638)  2 V 2.54, 2 Cu 2.75, 2 Sb 2.77
V (0.8710, 0.7029, 0.7643)  2 V 2.54, 2 Cu 2.75, 2 Sb 2.77

## Properties
* symmetry: C2/m
* distance to the lowest polymorph of the same formula: 0.136 eV/atom
* density: 7.748 g/cm3
* energy relative to the elements, uncorrected: 65 meV/atom

---

11.
Material: LiTlF
Method: DFT, PBE
State: optimized geometry

a b c (Å): 3.6251 7.4730 6.4204
angles (deg): 72.05 57.70 61.19
Last column: nearest neighbours and their distance in Å.
Atoms (fractional coordinates):
F (0.9322, 0.5045, 0.8046)  3 Li 1.82-1.98
F (0.0678, 0.4955, 0.1954)  3 Li 1.82-1.98
Li (0.3963, 0.5160, 0.8303)  3 F 1.82-1.98
Li (0.6037, 0.4840, 0.1697)  3 F 1.82-1.98
Tl (0.5153, 0.9833, 0.2523)  4 Tl 3.21-3.33, 2 F 3.23-3.35
Tl (0.4847, 0.0167, 0.7477)  4 Tl 3.21-3.33, 2 F 3.23-3.35

## Properties
* symmetry: P-1
* distance to the lowest polymorph of the same formula: 0.082 eV/atom
* density: 5.952 g/cm3
* energy relative to the elements, uncorrected: -1687 meV/atom

---

12.
Material: AlAs2Au
Method: DFT, PBE
State: optimized geometry

a b c (Å): 5.0325 5.0326 2.9090
angles (deg): 90.00 90.00 90.04
Last column: nearest neighbours and their distance in Å.
Atoms (fractional coordinates):
As (0.0000, 0.0000, 0.0000)  4 Au 2.91, 4 Al 2.91, 2 As 2.91
As (0.5000, 0.5000, 0.0000)  4 Al 2.91, 4 Au 2.91, 2 As 2.91
Au (0.5000, 0.0000, 0.5000)  8 As 2.91, 2 Au 2.91
Al (0.0000, 0.5000, 0.5000)  8 As 2.91, 2 Al 2.91

## Properties
* formation energy: 0.1594 eV per atom
* symmetry: P4/mmm
* density: 8.425 g/cm3